1.
BaHfTlPd2 after structural relaxation, computed with PBE.

a = 5.1478 Å, b = 5.1478 Å, c = 5.8960 Å
α = 90.00°, β = 90.00°, γ = 90.00°
Space group P4/mmm (No. 123)
Symmetry-distinct sites (fractional):
Ba  0.0000  0.0000  0.0000 [1 per cell]
Hf  0.5000  0.5000  0.0000 [1 per cell]
Tl  0.0000  0.0000  0.5000 [1 per cell]
Pd  0.0000  0.5000  0.5000 [2 per cell]

Calculated values
offset from the most stable computed form = 0.000 eV/atom

***

2.
Ba2HfPdW after structural relaxation, computed with PBE.

a = 5.9587 Å, b = 5.9587 Å, c = 4.8290 Å
α = 90.00°, β = 90.00°, γ = 90.00°
Space group P4/mmm (No. 123)
Symmetry-distinct sites (fractional):
Ba  0.0000  0.5000  0.0000 [2 per cell]
Hf  0.0000  0.0000  0.5000 [1 per cell]
Pd  0.5000  0.5000  0.5000 [1 per cell]
W  0.5000  0.5000  0.0000 [1 per cell]

***

3.
BaHfPt2 after structural relaxation, computed with PBE.

a = 7.1361 Å, b = 7.1361 Å, c = 7.1361 Å
α = 90.00°, β = 90.00°, γ = 90.00°
Space group Fm-3m (No. 225)
Symmetry-distinct sites (fractional):
Ba  0.0000  0.0000  0.0000 [4 per cell]
Hf  0.0000  0.0000  0.5000 [4 per cell]
Pt  0.2500  0.2500  0.2500 [8 per cell]

Calculated values
offset from the most stable computed form = 0.538 eV/atom

***

4.
BaHf2Pt after structural relaxation, computed with PBE.

a = 7.0311 Å, b = 7.0311 Å, c = 7.0311 Å
α = 90.00°, β = 90.00°, γ = 90.00°
Space group Fm-3m (No. 225)
Symmetry-distinct sites (fractional):
Ba  0.0000  0.0000  0.0000 [4 per cell]
Hf  0.2500  0.2500  0.2500 [8 per cell]
Pt  0.0000  0.0000  0.5000 [4 per cell]

Calculated values
offset from the most stable computed form = 0.000 eV/atom

***

5.
BaHf2Pt after structural relaxation, computed with PBE.

a = 5.5874 Å, b = 5.5874 Å, c = 18.0500 Å
α = 90.00°, β = 90.00°, γ = 90.00°
Space group I-42d (No. 122)
Symmetry-distinct sites (fractional):
Ba  0.0000  0.0000  0.0000 [4 per cell]
Hf  0.0065  0.2500  0.6250 [8 per cell]
Pt  0.0000  0.0000  0.5000 [4 per cell]

Calculated values
offset from the most stable computed form = 0.164 eV/atom

***

6.
Ba2HfPt2 after structural relaxation, computed with PBE.

a = 7.2195 Å, b = 7.2195 Å, c = 5.3235 Å
α = 90.00°, β = 90.00°, γ = 90.00°
Space group P4/mbm (No. 127)
Symmetry-distinct sites (fractional):
Ba  0.1711  0.3289  0.0000 [4 per cell]
Hf  0.0000  0.0000  0.5000 [2 per cell]
Pt  0.1416  0.6416  0.5000 [4 per cell]

***

7.
BaHfPt after structural relaxation, computed with PBE.

a = 4.7709 Å, b = 4.7709 Å, c = 7.6169 Å
α = 90.00°, β = 90.00°, γ = 90.00°
Space group P4/nmm (No. 129, origin choice 2)
Symmetry-distinct sites (fractional):
Ba  0.2500  0.2500  0.1303 [2 per cell]
Hf  0.2500  0.7500  0.5000 [2 per cell]
Pt  0.2500  0.2500  0.6648 [2 per cell]

***

8.
BaHf3Pt after structural relaxation, computed with PBE.

a = 5.2242 Å, b = 5.2242 Å, c = 5.2242 Å
α = 90.00°, β = 90.00°, γ = 90.00°
Space group Pm-3m (No. 221)
Symmetry-distinct sites (fractional):
Ba  0.0000  0.0000  0.0000 [1 per cell]
Hf  0.0000  0.5000  0.5000 [3 per cell]
Pt  0.5000  0.5000  0.5000 [1 per cell]

Calculated values
offset from the most stable computed form = 0.000 eV/atom

***

| no. | energy relative to the elements (kcal/mol of atoms) |
| --- | --- |
| 1 | 22.5 |
| 2 | 33.5 |
| 3 | -7.2 |
| 4 | 5.2 |
| 5 | 9.0 |
| 6 | -10.7 |
| 7 | -16.0 |
| 8 | 4.3 |